1.
DFT (PBE) results for Rb2BiF after structural relaxation.

a = 6.0601 Å, b = 6.0601 Å, c = 6.0601 Å
α = 60.00°, β = 60.00°, γ = 60.00°
Closest atoms and distances in Å follow each position.
Sites, in units of the cell vectors:
Bi (0.5000, 0.5000, 0.5000)  8 Rb 3.71
Rb (0.2500, 0.2500, 0.2500)  4 F 3.71, 4 Bi 3.71
Rb (0.7500, 0.7500, 0.7500)  4 Bi 3.71, 4 F 3.71
F (0.0000, 0.0000, 0.0000)  8 Rb 3.71

Output
Uncorrected formation energy ... -0.80 eV per atom
Distance to the lowest polymorph of the same formula ... 589 meV per atom



2.
DFT (PBE) results for RbBi2F9 after structural relaxation.

a = 3.5483 Å, b = 7.7294 Å, c = 7.7294 Å
α = 120.00°, β = 90.00°, γ = 90.00°
Closest atoms and distances in Å follow each position.
Sites, in units of the cell vectors:
Rb (0.0000, 0.0000, 0.0000)  12 F 3.43, 2 Rb 3.55
Bi (0.0000, 0.6667, 0.3333)  9 F 2.23-2.34
Bi (0.0000, 0.3333, 0.6667)  9 F 2.23-2.34
F (0.5000, 0.7804, 0.2196)  2 Bi 2.34
F (0.0000, 0.0000, 0.5000)  2 Bi 2.23
F (0.0000, 0.5000, 0.5000)  2 Bi 2.23
F (0.5000, 0.7804, 0.5609)  2 Bi 2.34
F (0.5000, 0.2196, 0.7804)  2 Bi 2.34
F (0.5000, 0.5609, 0.7804)  2 Bi 2.34
F (0.5000, 0.2196, 0.4391)  2 Bi 2.34
F (0.0000, 0.5000, 0.0000)  2 Bi 2.23
F (0.5000, 0.4391, 0.2196)  2 Bi 2.34

Output
Uncorrected formation energy ... -2.08 eV per atom



3.
DFT (PBE) results for Rb2BiF7 after structural relaxation.

a = 6.6292 Å, b = 6.6292 Å, c = 6.6226 Å
α = 59.97°, β = 59.97°, γ = 90.00°
Closest atoms and distances in Å follow each position.
Sites, in units of the cell vectors:
Bi (0.0000, 0.0000, 0.0000)  6 F 2.10-2.11
Rb (0.7500, 0.2500, 0.5000)  12 F 3.32
Rb (0.2500, 0.7500, 0.5000)  12 F 3.32
F (0.5000, 0.5000, 0.0000)  6 F 2.57-2.58
F (0.2250, 0.2250, 0.5501)  1 Bi 2.10
F (0.7750, 0.7750, 0.4499)  1 Bi 2.10
F (0.2246, 0.2246, 0.0000)  1 Bi 2.11
F (0.7754, 0.7754, 0.0000)  1 Bi 2.11
F (0.7754, 0.2246, 0.0000)  1 Bi 2.11
F (0.2246, 0.7754, 0.0000)  1 Bi 2.11

Output
Uncorrected formation energy ... -2.14 eV per atom



4.
DFT (PBE) results for Rb2ReBiF6 after structural relaxation.

a = 6.3226 Å, b = 6.3226 Å, c = 7.2292 Å
α = 64.07°, β = 64.07°, γ = 90.00°
Closest atoms and distances in Å follow each position.
Sites, in units of the cell vectors:
Re (0.5000, 0.5000, 0.0000)  6 F 2.00-2.05
Bi (0.0000, 0.0000, 0.0000)  4 F 2.42
Rb (0.7500, 0.2500, 0.5000)  12 F 3.27-3.62
Rb (0.2500, 0.7500, 0.5000)  12 F 3.27-3.62
F (0.3237, 0.3237, 0.3527)  1 Re 2.00
F (0.6763, 0.6763, 0.6473)  1 Re 2.00
F (0.2705, 0.2705, 0.0000)  1 Re 2.05
F (0.7295, 0.7295, 0.0000)  1 Re 2.05
F (0.7295, 0.2705, 0.0000)  1 Re 2.05
F (0.2705, 0.7295, 0.0000)  1 Re 2.05

Output
Uncorrected formation energy ... -1.86 eV per atom



5.
DFT (PBE) results for RbBiRhF2 after structural relaxation.

a = 4.6807 Å, b = 5.2954 Å, c = 4.6807 Å
α = 90.00°, β = 90.00°, γ = 90.00°
Closest atoms and distances in Å follow each position.
Sites, in units of the cell vectors:
Rh (0.0000, 0.5000, 0.0000)  2 Rb 2.65
Bi (0.5000, 0.5000, 0.5000)  4 Rh 3.31, 8 F 3.53
Rb (0.0000, 0.0000, 0.0000)  4 F 2.34
F (0.0000, 0.0000, 0.5000)  2 Rb 2.34
F (0.5000, 0.0000, 0.0000)  2 Rb 2.34

Output
Uncorrected formation energy ... -0.26 eV per atom
Distance to the lowest polymorph of the same formula ... 0 meV per atom



6.
DFT (PBE) results for RbBiRhF2 after structural relaxation.

a = 4.5362 Å, b = 6.5115 Å, c = 4.5362 Å
α = 90.00°, β = 90.00°, γ = 90.00°
Closest atoms and distances in Å follow each position.
Sites, in units of the cell vectors:
Rh (0.0000, 0.0000, 0.0000)  4 F 2.27
Bi (0.5000, 0.5000, 0.5000)  4 Rb 3.21
Rb (0.0000, 0.5000, 0.0000)  4 Bi 3.21, 2 Rh 3.26
F (0.0000, 0.0000, 0.5000)  2 Rh 2.27
F (0.5000, 0.0000, 0.0000)  2 Rh 2.27

Output
Uncorrected formation energy ... -0.12 eV per atom
Distance to the lowest polymorph of the same formula ... 141 meV per atom



7.
DFT (PBE) results for Rb2BiRuF6 after structural relaxation.

a = 6.4215 Å, b = 6.4215 Å, c = 6.4333 Å
α = 60.06°, β = 60.06°, γ = 90.00°
Closest atoms and distances in Å follow each position.
Sites, in units of the cell vectors:
Ru (0.5000, 0.5000, 0.0000)  6 F 2.22-2.23
Bi (0.0000, 0.0000, 0.0000)  6 F 2.32-2.33
Rb (0.7500, 0.2500, 0.5000)  12 F 3.21-3.22
Rb (0.2500, 0.7500, 0.5000)  12 F 3.21-3.22
F (0.2553, 0.2553, 0.4894)  1 Ru 2.23, 1 Bi 2.33
F (0.7447, 0.7447, 0.5106)  1 Ru 2.23, 1 Bi 2.33
F (0.2557, 0.2557, 0.0000)  1 Ru 2.22, 1 Bi 2.32
F (0.7443, 0.7443, 0.0000)  1 Ru 2.22, 1 Bi 2.32
F (0.7443, 0.2557, 0.0000)  1 Ru 2.22, 1 Bi 2.32
F (0.2557, 0.7443, 0.0000)  1 Ru 2.22, 1 Bi 2.32

Output
Uncorrected formation energy ... -1.92 eV per atom



8.
DFT (PBE) results for RbBiSF2 after structural relaxation.

a = 4.7333 Å, b = 4.7333 Å, c = 5.4204 Å
α = 90.00°, β = 90.00°, γ = 90.00°
Closest atoms and distances in Å follow each position.
Sites, in units of the cell vectors:
S (0.0000, 0.0000, 0.5000)  2 Bi 2.71
Bi (0.0000, 0.0000, 0.0000)  4 F 2.37
Rb (0.5000, 0.5000, 0.5000)  4 S 3.35, 8 F 3.60
F (0.0000, 0.5000, 0.0000)  2 Bi 2.37
F (0.5000, 0.0000, 0.0000)  2 Bi 2.37

Output
Uncorrected formation energy ... -1.79 eV per atom



9.
DFT (PBE) results for Rb2ScBiF6 after structural relaxation.

a = 6.2072 Å, b = 6.2072 Å, c = 7.3046 Å
α = 64.86°, β = 64.86°, γ = 90.00°
Closest atoms and distances in Å follow each position.
Sites, in units of the cell vectors:
Sc (0.5000, 0.5000, 0.0000)  6 F 2.01-2.04
Bi (0.0000, 0.0000, 0.0000)  4 F 2.35
Rb (0.7500, 0.2500, 0.5000)  4 F 3.23
Rb (0.2500, 0.7500, 0.5000)  4 F 3.23
F (0.3275, 0.3275, 0.3449)  1 Sc 2.01
F (0.6725, 0.6725, 0.6551)  1 Sc 2.01
F (0.2681, 0.2681, 0.0000)  1 Sc 2.04
F (0.7319, 0.7319, 0.0000)  1 Sc 2.04
F (0.7319, 0.2681, 0.0000)  1 Sc 2.04
F (0.2681, 0.7319, 0.0000)  1 Sc 2.04

Output
Uncorrected formation energy ... -2.86 eV per atom



10.
DFT (PBE) results for RbBiSeF2 after structural relaxation.

a = 4.7683 Å, b = 4.7683 Å, c = 5.6601 Å
α = 90.00°, β = 90.00°, γ = 90.00°
Closest atoms and distances in Å follow each position.
Sites, in units of the cell vectors:
Se (0.0000, 0.0000, 0.5000)  2 Bi 2.83
Bi (0.0000, 0.0000, 0.0000)  4 F 2.38
Rb (0.5000, 0.5000, 0.5000)  4 Se 3.37, 8 F 3.70
F (0.0000, 0.5000, 0.0000)  2 Bi 2.38
F (0.5000, 0.0000, 0.0000)  2 Bi 2.38

Output
Uncorrected formation energy ... -1.76 eV per atom



11.
DFT (PBE) results for RbBi2SeF after structural relaxation.

a = 5.0728 Å, b = 5.5446 Å, c = 5.0728 Å
α = 90.00°, β = 90.00°, γ = 90.00°
Closest atoms and distances in Å follow each position.
Sites, in units of the cell vectors:
Se (0.5000, 0.5000, 0.5000)  4 Rb 3.59, 8 Bi 3.76
Bi (0.0000, 0.0000, 0.5000)  2 F 2.54
Bi (0.5000, 0.0000, 0.0000)  2 F 2.54
Rb (0.0000, 0.5000, 0.0000)  2 F 2.77
F (0.0000, 0.0000, 0.0000)  4 Bi 2.54, 2 Rb 2.77

Output
Uncorrected formation energy ... -0.50 eV per atom



12.
DFT (PBE) results for Rb2SiBiF6 after structural relaxation.

a = 6.2722 Å, b = 6.2722 Å, c = 7.0236 Å
α = 63.48°, β = 63.48°, γ = 90.00°
Closest atoms and distances in Å follow each position.
Sites, in units of the cell vectors:
Si (0.5000, 0.5000, 0.0000)  6 F 1.71-1.73
Bi (0.0000, 0.0000, 0.0000)  4 F 2.71
Rb (0.7500, 0.2500, 0.5000)  12 F 3.29-3.55
Rb (0.2500, 0.7500, 0.5000)  12 F 3.29-3.55
F (0.3426, 0.3426, 0.3148)  1 Si 1.71
F (0.6574, 0.6574, 0.6852)  1 Si 1.71
F (0.3053, 0.3053, 0.0000)  1 Si 1.73
F (0.6947, 0.6947, 0.0000)  1 Si 1.73
F (0.6947, 0.3053, 0.0000)  1 Si 1.73
F (0.3053, 0.6947, 0.0000)  1 Si 1.73

Output
Uncorrected formation energy ... -2.43 eV per atom



13.
DFT (PBE) results for RbSrBiF6 after structural relaxation.

a = 8.4802 Å, b = 8.7542 Å, c = 8.7590 Å
α = 119.98°, β = 118.95°, γ = 90.00°
Closest atoms and distances in Å follow each position.
Sites, in units of the cell vectors:
Rb (0.9537, 0.7037, 0.9073)  1 F 2.66
Rb (0.0463, 0.2963, 0.0927)  1 F 2.66
Sr (0.5000, 0.0000, 0.5000)  6 F 2.37-2.44
Sr (0.0000, 0.0000, 0.5000)  6 F 2.37-2.44
Bi (0.5000, 0.5000, 0.0000)  6 F 2.27-2.31
Bi (0.5000, 0.0000, 0.0000)  6 F 2.27-2.31
F (0.4423, 0.6923, 0.8846)  2 Bi 2.31
F (0.8351, 0.0851, 0.6702)  2 Sr 2.37, 1 Rb 2.66
F (0.8126, 0.0602, 0.2311)  1 Bi 2.27, 1 Sr 2.44
F (0.4185, 0.6709, 0.2311)  1 Bi 2.27, 1 Sr 2.44
F (0.4185, 0.0602, 0.2311)  1 Bi 2.27, 1 Sr 2.44
F (0.8126, 0.6709, 0.2311)  1 Bi 2.27, 1 Sr 2.44
F (0.5577, 0.3077, 0.1154)  2 Bi 2.31
F (0.1649, 0.9149, 0.3298)  2 Sr 2.37, 1 Rb 2.66
F (0.1874, 0.9398, 0.7689)  1 Bi 2.27, 1 Sr 2.44
F (0.5815, 0.3291, 0.7689)  1 Bi 2.27, 1 Sr 2.44
F (0.5815, 0.9398, 0.7689)  1 Bi 2.27, 1 Sr 2.44
F (0.1874, 0.3291, 0.7689)  1 Bi 2.27, 1 Sr 2.44

Output
Uncorrected formation energy ... -2.96 eV per atom



14.
DFT (PBE) results for RbSrBiF2 after structural relaxation.

a = 5.1650 Å, b = 6.5120 Å, c = 5.1650 Å
α = 90.00°, β = 90.00°, γ = 90.00°
Closest atoms and distances in Å follow each position.
Sites, in units of the cell vectors:
Sr (0.0000, 0.5000, 0.0000)  2 Bi 3.26
Bi (0.0000, 0.0000, 0.0000)  4 F 2.58
Rb (0.5000, 0.5000, 0.5000)  4 Sr 3.65
F (0.0000, 0.0000, 0.5000)  2 Bi 2.58
F (0.5000, 0.0000, 0.0000)  2 Bi 2.58

Output
Uncorrected formation energy ... -1.00 eV per atom



15.
DFT (PBE) results for Rb2TcBiF6 after structural relaxation.

a = 6.6287 Å, b = 6.6287 Å, c = 6.6319 Å
α = 60.02°, β = 60.02°, γ = 90.00°
Closest atoms and distances in Å follow each position.
Sites, in units of the cell vectors:
F (0.2522, 0.2522, 0.4957)  1 Tc 2.33, 1 Bi 2.37
F (0.7478, 0.7478, 0.5043)  1 Tc 2.33, 1 Bi 2.37
F (0.2543, 0.2543, 0.0000)  1 Tc 2.30, 1 Bi 2.38
F (0.7457, 0.7457, 0.0000)  1 Tc 2.30, 1 Bi 2.38
F (0.7457, 0.2543, 0.0000)  1 Tc 2.30, 1 Bi 2.38
F (0.2543, 0.7457, 0.0000)  1 Tc 2.30, 1 Bi 2.38
Bi (0.0000, 0.0000, 0.0000)  6 F 2.37-2.38
Rb (0.7500, 0.2500, 0.5000)  12 F 3.31-3.32
Rb (0.2500, 0.7500, 0.5000)  12 F 3.31-3.32
Tc (0.5000, 0.5000, 0.0000)  6 F 2.30-2.33

Output
Uncorrected formation energy ... -1.93 eV per atom



no.,total energy (eV per cell)
1,-10.90
2,-50.57
3,-40.31
4,-48.12
5,-17.25
6,-16.54
7,-45.48
8,-21.64
9,-51.93
10,-20.88
11,-16.57
12,-46.81
13,-88.79
14,-15.27
15,-46.67